*i*
This record from Alexandria describes a geometry-optimized Tb5Tm2 structure. The functional is PBE.

Summary:
- mass density (g/cm³) = 8.490
- size of the total moment (μB/f.u.) = 0.0
- crystal system = trigonal
- space group = R-3m (166)

Lattice parameters (Å, degrees): 8.7040 8.7040 8.7040 37.72 37.72 37.72
Last column: nearest neighbours and their distance in Å.
Fractional positions:
Tb: 0.0000 0.0000 0.0000  6 Tb 3.43, 2 Tm 3.53
Tb: 0.2879 0.2879 0.2879  7 Tb 3.43-3.48, 1 Tm 3.44
Tb: 0.4302 0.4302 0.4302  5 Tb 3.38-3.48, 3 Tm 3.46
Tb: 0.5698 0.5698 0.5698  5 Tb 3.38-3.48, 3 Tm 3.46
Tb: 0.7121 0.7121 0.7121  7 Tb 3.43-3.48, 1 Tm 3.44
Tm: 0.1459 0.1459 0.1459  3 Tm 3.40, 5 Tb 3.44-3.53
Tm: 0.8541 0.8541 0.8541  3 Tm 3.40, 5 Tb 3.44-3.53


*ii*
This record from Alexandria describes a geometry-optimized Tb5Tm2 structure. The functional is PBE.

Summary:
- mass density (g/cm³) = 8.245
- size of the total moment (μB/f.u.) = 0.0
- crystal system = monoclinic
- space group = C2/m (12)

Lattice parameters (Å, degrees): 8.2382 8.2382 11.0961 131.46 131.46 24.31
Last column: nearest neighbours and their distance in Å.
Fractional positions:
Tb: 0.0000 0.0000 0.0000  4 Tm 3.43, 6 Tb 3.47
Tb: 0.1597 0.1597 0.6627  6 Tb 3.47-3.79, 3 Tm 3.48
Tb: 0.3667 0.3667 0.6391  1 Tm 3.20, 9 Tb 3.31-3.53
Tb: 0.6333 0.6333 0.3609  1 Tm 3.20, 9 Tb 3.31-3.53
Tb: 0.8403 0.8403 0.3373  6 Tb 3.47-3.79, 3 Tm 3.48
Tm: 0.3637 0.3637 0.0890  6 Tb 3.20-3.48, 4 Tm 3.24-3.47
Tm: 0.6363 0.6363 0.9110  6 Tb 3.20-3.48, 4 Tm 3.24-3.47


Of the structures shown above, *ii* is the least stable.